1.
A plane-wave DFT calculation with PBE was carried out for a relaxed structure of Ce2FeGe3.

Unit cell a=3.9919 b=4.2995 c=7.2207 alpha=90.00 beta=90.00 gamma=90.00
Last column: nearest neighbours and their distance in Å.
Space group Pmm2 (No. 25)
Asymmetric unit:
Ce  0.0000  0.0000  0.0000 [1 per cell]  2 Fe 2.98, 10 Ge 3.17-3.31
Ce  0.0000  0.5000  0.4799 [1 per cell]  8 Ge 3.02-3.16, 4 Fe 3.19
Fe  0.5000  0.0000  0.3063 [1 per cell]  3 Ge 2.37-2.38
Ge  0.5000  0.0000  0.6351 [1 per cell]  1 Fe 2.37, 2 Ge 2.53
Ge  0.5000  0.5000  0.1665 [1 per cell]  2 Fe 2.38, 1 Ge 2.51
Ge  0.5000  0.5000  0.8186 [1 per cell]  3 Ge 2.51-2.53

Calculated values
* energy of formation from the pure elements: -564 meV per atom
* crystal system: orthorhombic
* volume: 123.9 Å³/cell
* ΔE to the lowest computed polymorph: 0 meV per atom
* Fermi-level density of states: 7.6 states/eV/cell

***

2.
A plane-wave DFT calculation with PBE was carried out for a relaxed structure of Ce2ScSn.

Unit cell a=4.4244 b=4.4244 c=5.1194 alpha=90.00 beta=90.00 gamma=90.00
Last column: nearest neighbours and their distance in Å.
Space group P4/mmm (No. 123)
Asymmetric unit:
Ce  0.0000  0.5000  0.0000 [2 per cell]  4 Ce 3.13, 4 Sn 3.38, 4 Sc 3.38
Sc  0.0000  0.0000  0.5000 [1 per cell]  4 Sn 3.13, 8 Ce 3.38
Sn  0.5000  0.5000  0.5000 [1 per cell]  4 Sc 3.13, 8 Ce 3.38

Calculated values
* energy of formation from the pure elements: -422 meV per atom
* crystal system: tetragonal
* volume: 100.2 Å³/cell
* ΔE to the lowest computed polymorph: 12 meV per atom
* Fermi-level density of states: 9.7 states/eV/cell

***

3.
A plane-wave DFT calculation with PBE was carried out for a relaxed structure of Sm3Be2SiPd9.

Unit cell a=5.9391 b=5.9391 c=8.7796 alpha=90.00 beta=90.00 gamma=120.00
Last column: nearest neighbours and their distance in Å.
Space group P-3m1 (No. 164)
Asymmetric unit:
Sm  0.0000  0.0000  0.0000 [1 per cell]  12 Pd 2.97-3.13
Sm  0.3333  0.6667  0.6495 [2 per cell]  6 Pd 3.00
Be  0.3333  0.6667  0.1537 [2 per cell]  6 Pd 2.18
Si  0.0000  0.0000  0.5000 [1 per cell]  6 Pd 2.42
Pd  0.0000  0.5000  0.0000 [3 per cell]  2 Be 2.18
Pd  0.1629  0.3258  0.3015 [6 per cell]  1 Be 2.18, 1 Si 2.42

Calculated values
* uncorrected formation energy: -0.68 eV per atom
* crystal system: trigonal
* volume: 268.2 Å³/cell
* Fermi-level density of states: 8.2 states/eV/cell

***

4.
A plane-wave DFT calculation with PBE was carried out for a relaxed structure of Ac4Ge2SeBr.

Unit cell a=6.4387 b=6.4387 c=12.8007 alpha=90.00 beta=90.00 gamma=90.00
Last column: nearest neighbours and their distance in Å.
Space group I4/mmm (No. 139)
Asymmetric unit:
Ac  0.0000  0.0000  0.2437 [4 per cell]  1 Se 3.12, 4 Ge 3.22, 1 Br 3.28
Ac  0.0000  0.5000  0.0000 [4 per cell]  2 Ge 3.20, 2 Br 3.22, 2 Se 3.22
Ge  0.0000  0.5000  0.2500 [4 per cell]  6 Ac 3.20-3.22
Se  0.0000  0.0000  0.0000 [2 per cell]  6 Ac 3.12-3.22
Br  0.0000  0.0000  0.5000 [2 per cell]  6 Ac 3.22-3.28

Calculated values
* uncorrected formation energy: -1.23 eV per atom
* crystal system: tetragonal
* volume: 530.7 Å³/cell
* Fermi-level density of states: 5.0 states/eV/cell

***

5.
A plane-wave DFT calculation with PBE was carried out for a relaxed structure of BaLi3Cu4Cl12.

Unit cell a=13.2792 b=13.2792 c=10.1986 alpha=90.00 beta=90.00 gamma=120.00
Last column: nearest neighbours and their distance in Å.
Space group R32 (No. 155, hexagonal axes)
Asymmetric unit:
Ba  0.0000  0.0000  0.0000 [3 per cell]  6 Cl 3.13
Li  0.0000  0.5773  0.0000 [9 per cell]  6 Cl 2.55-2.70
Cu  0.0000  0.0000  0.5000 [3 per cell]  3 Cl 2.19
Cu  0.0000  0.4238  0.5000 [9 per cell]  3 Cl 2.17-2.22
Cl  0.0000  0.5907  0.5000 [9 per cell]  1 Cu 2.22
Cl  0.0000  0.8348  0.5000 [9 per cell]  1 Cu 2.19
Cl  0.0511  0.2072  0.1877 [18 per cell]  1 Cu 2.17

Calculated values
* uncorrected formation energy: -1.12 eV per atom
* crystal system: trigonal
* volume: 1557.5 Å³/cell
* Fermi-level density of states: 25.2 states/eV/cell

***

6.
A plane-wave DFT calculation with PBE was carried out for a relaxed structure of BaCaTe2.

Unit cell a=15.0349 b=6.8201 c=6.8199 alpha=90.00 beta=116.97 gamma=90.00
Last column: nearest neighbours and their distance in Å.
Space group C2/m (No. 12)
Asymmetric unit:
Ba  0.1250  0.0000  0.3755 [4 per cell]  6 Te 3.41-3.53
Ca  0.1250  0.5000  0.8755 [4 per cell]  6 Te 3.17-3.42
Te  0.1119  0.5000  0.3620 [4 per cell]  3 Ca 3.17-3.42, 3 Ba 3.41-3.53
Te  0.1382  0.0000  0.8886 [4 per cell]  3 Ca 3.17-3.41, 3 Ba 3.41-3.53

Calculated values
* uncorrected formation energy: -1.67 eV per atom
* crystal system: monoclinic
* volume: 623.2 Å³/cell
* ΔE to the lowest computed polymorph: 28 meV per atom
* Fermi-level density of states: 0.0 states/eV/cell

***

7.
A plane-wave DFT calculation with PBE was carried out for a relaxed structure of LiPu2AgSe4.

Unit cell a=6.7681 b=4.1972 c=7.2537 alpha=90.00 beta=110.88 gamma=90.00
Last column: nearest neighbours and their distance in Å.
Space group P2/m (No. 10)
Asymmetric unit:
Li  0.0000  0.0000  0.0000 [1 per cell]  6 Se 2.86-2.88
Pu  0.5000  0.0000  0.5000 [1 per cell]  6 Se 2.91-2.92
Pu  0.5000  0.5000  0.0000 [1 per cell]  6 Se 2.87-2.88
Ag  0.0000  0.5000  0.5000 [1 per cell]  6 Se 2.91
Se  0.2494  0.0000  0.7547 [2 per cell]  1 Li 2.86, 3 Pu 2.88-2.92, 2 Ag 2.91
Se  0.2491  0.5000  0.2456 [2 per cell]  3 Pu 2.87-2.91, 2 Li 2.88, 1 Ag 2.91

Calculated values
* uncorrected formation energy: -1.17 eV per atom
* crystal system: monoclinic
* volume: 192.5 Å³/cell
* Fermi-level density of states: 19.1 states/eV/cell

***

8.
A plane-wave DFT calculation with PBE was carried out for a relaxed structure of CuAs2Pt.

Unit cell a=3.9395 b=3.9395 c=8.3034 alpha=90.00 beta=90.00 gamma=90.00
Last column: nearest neighbours and their distance in Å.
Space group I-4m2 (No. 119)
Asymmetric unit:
Cu  0.0000  0.0000  0.0000 [2 per cell]  8 As 2.79-2.86, 4 Pt 2.86
As  0.0000  0.0000  0.5000 [2 per cell]  4 Cu 2.79, 4 As 2.86, 4 Pt 2.86
As  0.0000  0.5000  0.2500 [2 per cell]  4 Pt 2.79, 4 As 2.86, 4 Cu 2.86
Pt  0.0000  0.5000  0.7500 [2 per cell]  8 As 2.79-2.86, 4 Cu 2.86

Calculated values
* energy of formation from the pure elements: 108 meV per atom
* crystal system: tetragonal
* volume: 128.9 Å³/cell
* ΔE to the lowest computed polymorph: 168 meV per atom
* Fermi-level density of states: 3.7 states/eV/cell